[1]
PBE-GGA CaCd2Pt, relaxed; formation enthalpy at 0 K = -244 meV per atom; DOS at the Fermi energy = 3.56 states/eV/cell
1.0
5.879 0.000 0.000
0.000 10.905 0.000
-1.587 0.000 2.719
Ca Cd Pt
2 4 2
Cartesian
0.000 0.000 0.000 Ca
2.939 5.452 0.000 Ca
0.676 2.726 1.360 Cd
0.676 8.178 1.360 Cd
3.615 2.726 1.360 Cd
3.615 8.178 1.360 Cd
0.000 5.452 0.000 Pt
2.939 0.000 0.000 Pt

=====

[2]
PBE-GGA TmTiB, relaxed; formation enthalpy at 0 K = -91 meV per atom; DOS at the Fermi energy = 8.69 states/eV/cell
1.0
3.782 0.000 0.000
0.000 5.768 3.328
0.000 -5.768 3.328
Tm Ti B
3 3 3
Cartesian
0.000 0.000 0.000 Tm
0.000 -2.365 2.567 Tm
0.000 2.365 2.567 Tm
1.891 0.000 2.288 Ti
1.891 -1.422 4.748 Ti
1.891 1.422 4.748 Ti
0.000 0.000 3.924 B
1.891 -3.847 3.931 B
1.891 3.847 3.931 B

=====

[3]
PBE-GGA VAgOs2Cl, relaxed; DFT total energy = -5.4700 eV/atom; DOS at the Fermi energy = 6.06 states/eV/cell
1.0
4.374 0.000 0.000
0.000 4.374 0.000
0.000 0.000 4.664
V Ag Os Cl
1 1 2 1
Cartesian
0.000 0.000 0.000 V
2.187 2.187 0.000 Ag
0.000 2.187 2.332 Os
2.187 0.000 2.332 Os
2.187 2.187 2.332 Cl

=====

[4]
PBE-GGA KLiInSb2, relaxed; DFT total energy = -3.1624 eV/atom; DOS at the Fermi energy = 5.74 states/eV/cell
1.0
4.716 0.000 0.000
0.000 4.716 0.000
0.000 0.000 13.560
K Li In Sb
2 2 2 4
Cartesian
0.000 0.000 0.000 K
2.358 2.358 6.780 K
0.000 2.358 10.170 Li
2.358 0.000 3.390 Li
0.000 2.358 3.390 In
2.358 0.000 10.170 In
0.000 0.000 5.145 Sb
0.000 0.000 8.416 Sb
2.358 2.358 1.635 Sb
2.358 2.358 11.925 Sb

=====

[5]
PBE-GGA VReTePt2, relaxed; DFT total energy = -5.9648 eV/atom; DOS at the Fermi energy = 8.37 states/eV/cell
1.0
4.870 0.000 0.000
0.000 4.870 0.000
0.000 0.000 5.031
V Re Te Pt
1 1 1 2
Cartesian
0.000 0.000 0.000 V
2.435 2.435 2.515 Re
2.435 2.435 0.000 Te
0.000 2.435 2.515 Pt
2.435 0.000 2.515 Pt

=====

[6]
PBE-GGA Pr2Y4C, relaxed; formation enthalpy at 0 K = 103 meV per atom; E above lowest polymorph = 0.222 eV/atom; DOS at the Fermi energy = 22.46 states/eV/cell
1.0
4.882 0.000 0.000
0.000 4.882 0.000
0.000 0.000 18.253
Pr Y C
4 8 2
Cartesian
0.000 0.000 3.273 Pr
0.000 0.000 14.980 Pr
2.441 2.441 5.854 Pr
2.441 2.441 12.400 Pr
0.000 0.000 6.728 Y
0.000 0.000 11.525 Y
0.000 2.441 0.000 Y
0.000 2.441 9.127 Y
2.441 0.000 0.000 Y
2.441 0.000 9.127 Y
2.441 2.441 2.399 Y
2.441 2.441 15.855 Y
0.000 0.000 9.127 C
2.441 2.441 0.000 C